No. 1
First-principles (PBE-GGA) data for Al2InRe after structural relaxation, as listed in Alexandria.

Cell and atoms, written as CIF:
```
data_Al2InRe
_symmetry_space_group_name_H-M 'P 1 2/m 1'
_symmetry_Int_Tables_number 10
_cell_length_a 4.866
_cell_length_b 2.915
_cell_length_c 5.064
_cell_angle_alpha 90.00
_cell_angle_beta 111.46
_cell_angle_gamma 90.00
loop_
_symmetry_equiv_pos_as_xyz
'x,y,z'
'-x,-y,-z'
'-x,y,-z'
'x,-y,z'
loop_
_atom_site_label
_atom_site_fract_x
_atom_site_fract_y
_atom_site_fract_z
_atom_site_occupancy
Al1 0.000 0.000 0.000 1
Al2 0.000 0.500 0.500 1
In1 0.500 0.000 0.500 1
Re1 0.500 0.500 0.000 1
```

---

No. 2
First-principles (PBE-GGA) data for AlIn2Re after structural relaxation, as listed in Alexandria.

Cell and atoms, written as CIF:
```
data_AlIn2Re
_symmetry_space_group_name_H-M 'I -4 m 2'
_symmetry_Int_Tables_number 119
_symmetry_space_group_name_Hall 'I -4 -2'
_cell_length_a 4.161
_cell_length_b 4.161
_cell_length_c 8.422
_cell_angle_alpha 90.00
_cell_angle_beta 90.00
_cell_angle_gamma 90.00
loop_
_atom_site_label
_atom_site_fract_x
_atom_site_fract_y
_atom_site_fract_z
_atom_site_occupancy
Al1 0.000 0.000 0.000 1
In1 0.000 0.000 0.500 1
In2 0.000 0.500 0.750 1
Re1 0.000 0.500 0.250 1
```

---

No. 3
First-principles (PBE-GGA) data for AlInRe3 after structural relaxation, as listed in Alexandria.

Calculated values
Energy relative to the lowest polymorph listed for this composition = 0.000 eV/f.u.

Cell and atoms, written as CIF:
```
data_AlInRe3
_symmetry_space_group_name_H-M 'P m -3 m'
_symmetry_Int_Tables_number 221
_symmetry_space_group_name_Hall '-P 4 2 3'
_cell_length_a 4.504
_cell_length_b 4.504
_cell_length_c 4.504
_cell_angle_alpha 90.00
_cell_angle_beta 90.00
_cell_angle_gamma 90.00
loop_
_atom_site_label
_atom_site_fract_x
_atom_site_fract_y
_atom_site_fract_z
_atom_site_occupancy
Al1 0.000 0.000 0.000 1
In1 0.500 0.500 0.500 1
Re1 0.000 0.000 0.500 1
```

---

No. 4
First-principles (PBE-GGA) data for Al2InRe after structural relaxation, as listed in Alexandria.

Cell and atoms, written as CIF:
```
data_Al2InRe
_symmetry_space_group_name_H-M 'C m m m'
_symmetry_Int_Tables_number 65
_symmetry_space_group_name_Hall '-C 2 2'
_cell_length_a 6.287
_cell_length_b 7.605
_cell_length_c 2.807
_cell_angle_alpha 90.00
_cell_angle_beta 90.00
_cell_angle_gamma 90.00
loop_
_atom_site_label
_atom_site_fract_x
_atom_site_fract_y
_atom_site_fract_z
_atom_site_occupancy
Al1 0.250 0.250 0.000 1
In1 0.000 0.000 0.500 1
Re1 0.000 0.500 0.500 1
```

---

No. 5
First-principles (PBE-GGA) data for AlIn2Re after structural relaxation, as listed in Alexandria.

Cell and atoms, written as CIF:
```
data_AlIn2Re
_symmetry_space_group_name_H-M 'I 41/a m d'
_symmetry_Int_Tables_number 141
_cell_length_a 10.273
_cell_length_b 10.273
_cell_length_c 4.854
_cell_angle_alpha 90.00
_cell_angle_beta 90.00
_cell_angle_gamma 90.00
loop_
_symmetry_equiv_pos_as_xyz
'x,y,z'
'-x,-y,-z'
'-y+1/4,x+3/4,z+1/4'
'y+1/4,-x+3/4,-z+1/4'
'-x+1/2,-y,z+1/2'
'x+1/2,y,-z+1/2'
'y+1/4,-x+1/4,z+3/4'
'-y+1/4,x+1/4,-z+3/4'
'x,-y,-z'
'-x,y,z'
'-y+1/4,-x+1/4,-z+3/4'
'y+1/4,x+1/4,z+3/4'
'-x+1/2,y,-z+1/2'
'x+1/2,-y,z+1/2'
'y+1/4,x+3/4,-z+1/4'
'-y+1/4,-x+3/4,z+1/4'
'x+1/2,y+1/2,z+1/2'
'-x+1/2,-y+1/2,-z+1/2'
'-y+3/4,x+1/4,z+3/4'
'y+3/4,-x+1/4,-z+3/4'
'-x,-y+1/2,z'
'x,y+1/2,-z'
'y+3/4,-x+3/4,z+1/4'
'-y+3/4,x+3/4,-z+1/4'
'x+1/2,-y+1/2,-z+1/2'
'-x+1/2,y+1/2,z+1/2'
'-y+3/4,-x+3/4,-z+1/4'
'y+3/4,x+3/4,z+1/4'
'-x,y+1/2,-z'
'x,-y+1/2,z'
'y+3/4,x+1/4,-z+3/4'
'-y+3/4,-x+1/4,z+3/4'
loop_
_atom_site_label
_atom_site_fract_x
_atom_site_fract_y
_atom_site_fract_z
_atom_site_occupancy
Al1 0.000 0.250 0.375 1
In1 0.000 0.000 0.000 1
Re1 0.000 0.250 0.875 1
```

---

No. 6
First-principles (PBE-GGA) data for Al2InRe after structural relaxation, as listed in Alexandria.

Cell and atoms, written as CIF:
```
data_Al2InRe
_symmetry_space_group_name_H-M 'C 1 2/m 1'
_symmetry_Int_Tables_number 12
_cell_length_a 9.471
_cell_length_b 2.902
_cell_length_c 4.988
_cell_angle_alpha 90.00
_cell_angle_beta 98.15
_cell_angle_gamma 90.00
loop_
_symmetry_equiv_pos_as_xyz
'x,y,z'
'-x,-y,-z'
'-x,y,-z'
'x,-y,z'
'x+1/2,y+1/2,z'
'-x+1/2,-y+1/2,-z'
'-x+1/2,y+1/2,-z'
'x+1/2,-y+1/2,z'
loop_
_atom_site_label
_atom_site_fract_x
_atom_site_fract_y
_atom_site_fract_z
_atom_site_occupancy
Al1 0.234 0.000 0.219 1
In1 0.000 0.000 0.500 1
Re1 0.000 0.500 0.000 1
```

---

No. 7
First-principles (PBE-GGA) data for AlIn2Re after structural relaxation, as listed in Alexandria.

Cell and atoms, written as CIF:
```
data_AlIn2Re
_symmetry_space_group_name_H-M 'F -4 3 m'
_symmetry_Int_Tables_number 216
_symmetry_space_group_name_Hall 'F -4 2 3'
_cell_length_a 6.689
_cell_length_b 6.689
_cell_length_c 6.689
_cell_angle_alpha 90.00
_cell_angle_beta 90.00
_cell_angle_gamma 90.00
loop_
_atom_site_label
_atom_site_fract_x
_atom_site_fract_y
_atom_site_fract_z
_atom_site_occupancy
Al1 0.000 0.000 0.000 1
In1 0.000 0.000 0.500 1
In2 0.250 0.250 0.750 1
Re1 0.250 0.250 0.250 1
```

---

No. 8
First-principles (PBE-GGA) data for AlIn2Re after structural relaxation, as listed in Alexandria.

Cell and atoms, written as CIF:
```
data_AlIn2Re
_symmetry_space_group_name_H-M 'P 4/m m m'
_symmetry_Int_Tables_number 123
_symmetry_space_group_name_Hall '-P 4 2'
_cell_length_a 4.741
_cell_length_b 4.741
_cell_length_c 3.321
_cell_angle_alpha 90.00
_cell_angle_beta 90.00
_cell_angle_gamma 90.00
loop_
_atom_site_label
_atom_site_fract_x
_atom_site_fract_y
_atom_site_fract_z
_atom_site_occupancy
Al1 0.000 0.000 0.000 1
In1 0.000 0.500 0.500 1
Re1 0.500 0.500 0.000 1
```

---

No. 9
First-principles (PBE-GGA) data for AlIn2Re after structural relaxation, as listed in Alexandria.

Cell and atoms, written as CIF:
```
data_AlIn2Re
_symmetry_space_group_name_H-M 'I m m m'
_symmetry_Int_Tables_number 71
_symmetry_space_group_name_Hall '-I 2 2'
_cell_length_a 4.026
_cell_length_b 4.199
_cell_length_c 8.633
_cell_angle_alpha 90.00
_cell_angle_beta 90.00
_cell_angle_gamma 90.00
loop_
_atom_site_label
_atom_site_fract_x
_atom_site_fract_y
_atom_site_fract_z
_atom_site_occupancy
Al1 0.000 0.000 0.000 1
In1 0.000 0.500 0.252 1
Re1 0.000 0.000 0.500 1
```

---

No. 10
First-principles (PBE-GGA) data for Al2InRe after structural relaxation, as listed in Alexandria.

Cell and atoms, written as CIF:
```
data_Al2InRe
_symmetry_space_group_name_H-M 'C 1 m 1'
_symmetry_Int_Tables_number 8
_cell_length_a 9.751
_cell_length_b 2.856
_cell_length_c 4.857
_cell_angle_alpha 90.00
_cell_angle_beta 97.25
_cell_angle_gamma 90.00
loop_
_symmetry_equiv_pos_as_xyz
'x,y,z'
'x,-y,z'
'x+1/2,y+1/2,z'
'x+1/2,-y+1/2,z'
loop_
_atom_site_label
_atom_site_fract_x
_atom_site_fract_y
_atom_site_fract_z
_atom_site_occupancy
Al1 0.000 0.000 0.000 1
Al2 0.245 0.000 0.738 1
In1 0.264 0.500 0.252 1
Re1 0.012 0.500 0.525 1
```

---

No. 11
First-principles (PBE-GGA) data for AlIn2Re after structural relaxation, as listed in Alexandria.

Cell and atoms, written as CIF:
```
data_AlIn2Re
_symmetry_space_group_name_H-M 'I m m 2'
_symmetry_Int_Tables_number 44
_cell_length_a 3.480
_cell_length_b 4.686
_cell_length_c 9.101
_cell_angle_alpha 90.00
_cell_angle_beta 90.00
_cell_angle_gamma 90.00
loop_
_symmetry_equiv_pos_as_xyz
'x,y,z'
'-x,-y,z'
'-x,y,z'
'x,-y,z'
'x+1/2,y+1/2,z+1/2'
'-x+1/2,-y+1/2,z+1/2'
'-x+1/2,y+1/2,z+1/2'
'x+1/2,-y+1/2,z+1/2'
loop_
_atom_site_label
_atom_site_fract_x
_atom_site_fract_y
_atom_site_fract_z
_atom_site_occupancy
Al1 0.000 0.000 0.000 1
In1 0.000 0.000 0.532 1
In2 0.000 0.500 0.763 1
Re1 0.000 0.500 0.290 1
```

---

No. 12
First-principles (PBE-GGA) data for Al2InRe after structural relaxation, as listed in Alexandria.

Cell and atoms, written as CIF:
```
data_Al2InRe
_symmetry_space_group_name_H-M 'I 4/m m m'
_symmetry_Int_Tables_number 139
_symmetry_space_group_name_Hall '-I 4 2'
_cell_length_a 4.059
_cell_length_b 4.059
_cell_length_c 7.990
_cell_angle_alpha 90.00
_cell_angle_beta 90.00
_cell_angle_gamma 90.00
loop_
_atom_site_label
_atom_site_fract_x
_atom_site_fract_y
_atom_site_fract_z
_atom_site_occupancy
Al1 0.000 0.500 0.250 1
In1 0.000 0.000 0.000 1
Re1 0.000 0.000 0.500 1
```

---

No. 13
First-principles (PBE-GGA) data for AlIn2Re after structural relaxation, as listed in Alexandria.

Cell and atoms, written as CIF:
```
data_AlIn2Re
_symmetry_space_group_name_H-M 'C m m m'
_symmetry_Int_Tables_number 65
_symmetry_space_group_name_Hall '-C 2 2'
_cell_length_a 3.104
_cell_length_b 4.950
_cell_length_c 10.322
_cell_angle_alpha 90.00
_cell_angle_beta 90.00
_cell_angle_gamma 90.00
loop_
_atom_site_label
_atom_site_fract_x
_atom_site_fract_y
_atom_site_fract_z
_atom_site_occupancy
Al1 0.000 0.000 0.000 1
In1 0.000 0.500 0.267 1
Re1 0.000 0.000 0.500 1
```

---

No. 14
First-principles (PBE-GGA) data for AlIn2Re after structural relaxation, as listed in Alexandria.

Cell and atoms, written as CIF:
```
data_AlIn2Re
_symmetry_space_group_name_H-M 'C 1 2/m 1'
_symmetry_Int_Tables_number 12
_cell_length_a 10.164
_cell_length_b 2.954
_cell_length_c 4.984
_cell_angle_alpha 90.00
_cell_angle_beta 96.54
_cell_angle_gamma 90.00
loop_
_symmetry_equiv_pos_as_xyz
'x,y,z'
'-x,-y,-z'
'-x,y,-z'
'x,-y,z'
'x+1/2,y+1/2,z'
'-x+1/2,-y+1/2,-z'
'-x+1/2,y+1/2,-z'
'x+1/2,-y+1/2,z'
loop_
_atom_site_label
_atom_site_fract_x
_atom_site_fract_y
_atom_site_fract_z
_atom_site_occupancy
Al1 0.000 0.000 0.000 1
In1 0.240 0.000 0.744 1
Re1 0.000 0.500 0.500 1
```

---

No. 15
First-principles (PBE-GGA) data for AlInRe4 after structural relaxation, as listed in Alexandria.

Cell and atoms, written as CIF:
```
data_AlInRe4
_symmetry_space_group_name_H-M 'F -4 3 m'
_symmetry_Int_Tables_number 216
_symmetry_space_group_name_Hall 'F -4 2 3'
_cell_length_a 7.412
_cell_length_b 7.412
_cell_length_c 7.412
_cell_angle_alpha 90.00
_cell_angle_beta 90.00
_cell_angle_gamma 90.00
loop_
_atom_site_label
_atom_site_fract_x
_atom_site_fract_y
_atom_site_fract_z
_atom_site_occupancy
Al1 0.000 0.000 0.000 1
In1 0.250 0.250 0.250 1
Re1 0.125 0.125 0.625 1
```

---

No. 16
First-principles (PBE-GGA) data for Al2InRe after structural relaxation, as listed in Alexandria.

Cell and atoms, written as CIF:
```
data_Al2InRe
_symmetry_space_group_name_H-M 'P m m m'
_symmetry_Int_Tables_number 47
_cell_length_a 3.689
_cell_length_b 4.079
_cell_length_c 4.404
_cell_angle_alpha 90.00
_cell_angle_beta 90.00
_cell_angle_gamma 90.00
loop_
_symmetry_equiv_pos_as_xyz
'x,y,z'
'-x,-y,-z'
'-x,-y,z'
'x,y,-z'
'x,-y,-z'
'-x,y,z'
'-x,y,-z'
'x,-y,z'
loop_
_atom_site_label
_atom_site_fract_x
_atom_site_fract_y
_atom_site_fract_z
_atom_site_occupancy
Al1 0.000 0.000 0.000 1
Al2 0.500 0.000 0.500 1
In1 0.000 0.500 0.500 1
Re1 0.500 0.500 0.000 1
```

---

No. 17
First-principles (PBE-GGA) data for Al4InRe after structural relaxation, as listed in Alexandria.

Cell and atoms, written as CIF:
```
data_Al4InRe
_symmetry_space_group_name_H-M 'F -4 3 m'
_symmetry_Int_Tables_number 216
_symmetry_space_group_name_Hall 'F -4 2 3'
_cell_length_a 7.286
_cell_length_b 7.286
_cell_length_c 7.286
_cell_angle_alpha 90.00
_cell_angle_beta 90.00
_cell_angle_gamma 90.00
loop_
_atom_site_label
_atom_site_fract_x
_atom_site_fract_y
_atom_site_fract_z
_atom_site_occupancy
Al1 0.123 0.123 0.377 1
In1 0.000 0.000 0.000 1
Re1 0.250 0.250 0.750 1
```

---

No. 18
First-principles (PBE-GGA) data for AlIn2Re after structural relaxation, as listed in Alexandria.

Cell and atoms, written as CIF:
```
data_AlIn2Re
_symmetry_space_group_name_H-M 'C m m 2'
_symmetry_Int_Tables_number 35
_cell_length_a 3.518
_cell_length_b 4.583
_cell_length_c 10.198
_cell_angle_alpha 90.00
_cell_angle_beta 90.00
_cell_angle_gamma 90.00
loop_
_symmetry_equiv_pos_as_xyz
'x,y,z'
'-x,-y,z'
'-x,y,z'
'x,-y,z'
'x+1/2,y+1/2,z'
'-x+1/2,-y+1/2,z'
'-x+1/2,y+1/2,z'
'x+1/2,-y+1/2,z'
loop_
_atom_site_label
_atom_site_fract_x
_atom_site_fract_y
_atom_site_fract_z
_atom_site_occupancy
Al1 0.000 0.000 0.000 1
In1 0.000 0.000 0.414 1
In2 0.000 0.500 0.738 1
Re1 0.000 0.500 0.184 1
```

---

No. 19
First-principles (PBE-GGA) data for Al2InRe after structural relaxation, as listed in Alexandria.

Cell and atoms, written as CIF:
```
data_Al2InRe
_symmetry_space_group_name_H-M 'F -4 3 m'
_symmetry_Int_Tables_number 216
_symmetry_space_group_name_Hall 'F -4 2 3'
_cell_length_a 6.449
_cell_length_b 6.449
_cell_length_c 6.449
_cell_angle_alpha 90.00
_cell_angle_beta 90.00
_cell_angle_gamma 90.00
loop_
_atom_site_label
_atom_site_fract_x
_atom_site_fract_y
_atom_site_fract_z
_atom_site_occupancy
Al1 0.000 0.000 0.000 1
Al2 0.250 0.250 0.250 1
In1 0.000 0.000 0.500 1
Re1 0.250 0.250 0.750 1
```

---

No. 20
First-principles (PBE-GGA) data for Al2InRe after structural relaxation, as listed in Alexandria.

Cell and atoms, written as CIF:
```
data_Al2InRe
_symmetry_space_group_name_H-M 'I -4 2 d'
_symmetry_Int_Tables_number 122
_symmetry_space_group_name_Hall 'I -4 2bw'
_cell_length_a 4.072
_cell_length_b 4.072
_cell_length_c 18.355
_cell_angle_alpha 90.00
_cell_angle_beta 90.00
_cell_angle_gamma 90.00
loop_
_atom_site_label
_atom_site_fract_x
_atom_site_fract_y
_atom_site_fract_z
_atom_site_occupancy
Al1 0.207 0.250 0.125 1
In1 0.000 0.000 0.500 1
Re1 0.000 0.000 0.000 1
```

---

Number 1: ΔH_f (0 K) 0.281 eV/atom, magnetization 0.000 μB/f.u.. Number 2: ΔH_f (0 K) 0.413 eV/atom, magnetization 0.000 μB/f.u.. Number 3: ΔH_f (0 K) 1.632 eV/atom, magnetization 0.000 μB/f.u.. Number 4: ΔH_f (0 K) 0.272 eV/atom, magnetization 0.000 μB/f.u.. Number 5: ΔH_f (0 K) 0.577 eV/atom, magnetization 0.000 μB/f.u.. Number 6: ΔH_f (0 K) 0.193 eV/atom, magnetization 0.000 μB/f.u.. Number 7: ΔH_f (0 K) 0.670 eV/atom, magnetization 0.000 μB/f.u.. Number 8: ΔH_f (0 K) 0.594 eV/atom, magnetization 0.000 μB/f.u.. Number 9: ΔH_f (0 K) 0.417 eV/atom, magnetization 0.522 μB/f.u.. Number 10: ΔH_f (0 K) 0.194 eV/atom, magnetization 0.000 μB/f.u.. Number 11: ΔH_f (0 K) 0.396 eV/atom, magnetization 0.000 μB/f.u.. Number 12: ΔH_f (0 K) 0.161 eV/atom, magnetization 0.000 μB/f.u.. Number 13: ΔH_f (0 K) 0.555 eV/atom, magnetization 0.000 μB/f.u.. Number 14: ΔH_f (0 K) 0.447 eV/atom, magnetization 0.002 μB/f.u.. Number 15: ΔH_f (0 K) 0.445 eV/atom, magnetization 0.000 μB/f.u.. Number 16: ΔH_f (0 K) 0.318 eV/atom, magnetization 0.000 μB/f.u.. Number 17: ΔH_f (0 K) 0.193 eV/atom, magnetization 0.000 μB/f.u.. Number 18: ΔH_f (0 K) 0.387 eV/atom, magnetization 0.000 μB/f.u.. Number 19: ΔH_f (0 K) 0.464 eV/atom, magnetization 0.000 μB/f.u.. Number 20: ΔH_f (0 K) 0.555 eV/atom, magnetization 1.237 μB/f.u..